AlCl2 (PBEsol, optimized geometry); magnetization = 0.000 μB/atom; total energy = -3.282 eV per atom; space group = I4/mmm; raw formation energy = -0.580 eV per atom
1.0
-1.615 1.615 6.151
1.615 -1.615 6.151
1.615 1.615 -6.151
Al Cl
1 2
direct
0.000 0.000 0.000 Al
0.378 0.378 0.000 Cl
0.622 0.622 0.000 Cl